Record 1
10
Lattice="-4.0336 4.6202 0.4649 -4.6392 -3.9830 -0.6677 -4.5010 -0.3287 4.9027" Properties=species:S:1:pos:R:3 comment="Rb3OF6 PBE-GGA optimized geometry" magnetic_moment_mub_per_cell=1.0 e_form_raw_ev_per_atom=-1.5313 pbc="T T T"
F -6.0801 0.4467 -0.1422
Rb 0.0000 0.0000 0.0000
F -8.7570 0.3059 2.3581
O -4.3364 0.3186 -0.1014
Rb -6.4355 2.3051 2.6331
F -2.5927 0.1905 -0.0606
F -4.4168 0.0026 2.3417
F -4.4582 -1.4111 -0.3291
Rb -6.7383 -1.9965 2.0668
F -4.2146 2.0483 0.1263

=====

Record 2
12
Lattice="-3.2059 1.5391 1.6938 -3.4667 -7.1010 -0.1087 5.5981 2.1193 8.6698" Properties=species:S:1:pos:R:3 comment="RbOF PBE-GGA optimized geometry" magnetic_moment_mub_per_cell=3.7 relative_energy_ev_per_fu=0.00 e_form_raw_ev_per_atom=-1.7310 pbc="T T T"
Rb 1.0170 0.8543 3.4271
O -4.4525 -1.6388 1.7042
F -1.4245 -0.1682 4.3280
F -3.1570 -3.7191 4.2732
F 2.0826 0.2766 5.9816
O 3.8709 2.3423 9.2604
Rb -2.0914 -4.2968 6.8278
F 0.3501 -3.2743 5.9269
Rb -0.3500 -0.7502 6.8779
Rb -0.7244 -2.6923 3.3770
O 3.3781 -1.8038 8.5506
O -4.9453 -5.7849 0.9944

=====

Record 3
8
Lattice="6.2764 0.0000 0.0000 0.0000 6.2764 0.0000 3.1382 3.1382 6.5364" Properties=species:S:1:pos:R:3 comment="Rb2OF PBE-GGA optimized geometry" magnetic_moment_mub_per_cell=2.0 relative_energy_ev_per_fu=0.00 e_form_raw_ev_per_atom=-1.5195 pbc="T T T"
O 3.1382 6.2764 3.2682
O 3.1382 3.1382 0.0000
Rb 4.7073 4.6587 4.9023
Rb 4.7559 1.5691 1.6341
F 0.0000 0.0000 0.0000
Rb 7.8455 7.8941 4.9023
F 6.2764 3.1382 3.2682
Rb 1.5205 4.7073 1.6341

=====

Record 4
22
Lattice="8.4475 0.2447 0.0000 -2.6961 8.0094 0.0000 0.0000 0.0000 9.1647" Properties=species:S:1:pos:R:3 comment="Rb7O3F PBE-GGA optimized geometry" magnetic_moment_mub_per_cell=0.4 e_form_raw_ev_per_atom=-1.2025 pbc="T T T"
Rb 7.1581 1.1431 2.2912
Rb 4.4546 3.0268 6.8736
F 5.7491 8.2509 4.5824
Rb 5.8145 5.3147 4.3591
Rb 2.9743 7.2902 8.9456
Rb -0.0576 2.9389 4.8015
O 4.5343 0.2229 2.2940
O 1.2171 8.0312 6.8764
O 2.8658 4.1129 4.5824
Rb 2.7770 0.9638 4.3633
Rb 4.2338 3.1807 2.2912
O 7.1126 3.9232 2.2883
Rb -0.0632 2.9394 8.9415
F 0.0022 0.0032 0.0000
O -1.3613 4.3308 6.8707
Rb -1.4067 7.1110 6.8736
Rb 2.9720 7.2953 4.8056
Rb 1.2967 5.2273 2.2912
O 2.8855 4.1412 0.0000
Rb 1.5175 5.0734 6.8736
Rb 5.8089 5.3152 0.2191
Rb 2.7794 0.9588 0.2232

=====

Record 5
18
Lattice="7.3012 0.0000 -0.0062 3.6506 6.3291 -0.0031 -0.0191 0.0000 15.7627" Properties=species:S:1:pos:R:3 comment="Rb12O5F PBE-GGA optimized geometry" magnetic_moment_mub_per_cell=0.4 e_form_raw_ev_per_atom=-1.0620 pbc="T T T"
F 0.0000 0.0000 0.0000
Rb 6.0405 2.1898 1.4118
Rb 4.7535 0.0000 14.3418
O 7.2917 2.1100 7.8751
O 3.6507 2.1091 -0.0031
Rb 1.2076 0.0000 9.2297
Rb 8.5429 2.1898 14.3384
O 3.6411 0.0001 7.8782
O 3.6411 4.2191 7.8782
Rb 2.3899 4.1393 1.4149
Rb 2.4223 2.1096 6.5310
Rb 6.0745 0.0000 6.5268
Rb 6.1793 6.3291 1.4115
Rb 4.8598 2.1096 9.2254
Rb 8.5104 4.2196 9.2223
Rb 4.8923 4.1393 14.3416
Rb 6.0730 4.2196 6.5279
O 7.3013 4.2200 -0.0062

=====

Record 6
5
Lattice="3.8871 0.0000 0.0000 0.0000 3.8871 0.0000 0.0000 0.0000 4.7319" Properties=species:S:1:pos:R:3 comment="RbReO2F PBE-GGA optimized geometry" magnetic_moment_mub_per_cell=0.0 e_form_raw_ev_per_atom=-1.6346 pbc="T T T"
Re 0.0000 0.0000 0.0000
O 1.9436 0.0000 0.0000
F 0.0000 0.0000 2.3659
O 0.0000 1.9436 0.0000
Rb 1.9436 1.9436 2.3659

=====

Record 7
10
Lattice="-1.1777 -0.2860 6.5612 4.1337 -5.2121 0.5148 4.9072 0.0434 4.2752" Properties=species:S:1:pos:R:3 comment="Rb2ReOF6 PBE-GGA optimized geometry" magnetic_moment_mub_per_cell=1.0 e_form_raw_ev_per_atom=-1.9183 pbc="T T T"
F -0.0724 -1.3111 5.3030
F 2.3409 -4.3539 5.6035
O 1.4780 -2.7491 3.5380
Rb 5.2595 -3.9589 4.1640
F 3.0284 -4.1870 1.7730
F 3.4099 -1.1759 3.9533
F 0.6152 -1.1442 1.4725
Rb 2.6038 -1.4958 7.1872
Re 0.0000 0.0000 0.0000
F 4.4534 -4.2788 7.3979

=====

Record 8
5
Lattice="-1.8540 -3.4519 -1.9301 2.6506 0.4975 -3.4359 3.2118 -2.8775 2.0611" Properties=species:S:1:pos:R:3 comment="RbReO2F PBE-GGA optimized geometry" magnetic_moment_mub_per_cell=5.0 e_form_raw_ev_per_atom=1.2245 pbc="T T T"
F 1.6059 -1.4388 1.0306
Rb 0.0000 0.0000 0.0000
O 1.3253 0.2488 -1.7179
O -0.9270 -1.7260 -0.9651
Re 2.0042 -2.9160 -1.6524

=====

Record 9
9
Lattice="-0.6994 -3.6781 3.2536 3.5558 -3.7734 -3.1963 5.9526 -0.2895 1.2574" Properties=species:S:1:pos:R:3 comment="Rb2ReO2F4 PBE-GGA optimized geometry" magnetic_moment_mub_per_cell=1.0 e_form_raw_ev_per_atom=-2.2824 pbc="T T T"
F 3.1997 -3.6884 -1.0786
O 1.1393 -1.6161 0.6511
F 5.6092 -4.0526 2.3932
F 4.3403 -5.8971 0.0354
O 7.6697 -6.1249 0.6636
Re -0.3497 -1.8390 1.6268
F 4.4686 -1.8439 1.2793
Rb 2.5795 -4.3055 1.9797
Rb 6.2294 -3.4355 -0.6650

=====

Record 10
12
Lattice="6.7894 0.0000 0.0000 -3.3947 5.3485 0.0000 0.0000 0.0000 7.8617" Properties=species:S:1:pos:R:3 comment="Rb5ReO4F2 PBE-GGA optimized geometry" magnetic_moment_mub_per_cell=2.0 e_form_raw_ev_per_atom=-1.8761 pbc="T T T"
O 4.0497 0.0000 6.5118
Rb 2.8068 0.0000 3.9308
O 1.6182 1.4731 0.0000
O -1.7764 3.8754 0.0000
F 1.1366 2.2321 3.9308
Rb 2.6922 3.3808 5.9877
F 4.5313 3.1164 3.9308
Rb 2.6922 3.3808 1.8740
O 4.0497 0.0000 1.3498
Rb -0.7025 1.9677 1.8740
Re 2.7268 0.0000 0.0000
Rb -0.7025 1.9677 5.9877

=====

Record 11
5
Lattice="-1.8435 -2.7030 -2.0880 1.3968 -2.7619 2.3421 -3.9617 0.4587 2.9038" Properties=species:S:1:pos:R:3 comment="RbRhO2F PBE-GGA optimized geometry" magnetic_moment_mub_per_cell=1.3 e_form_raw_ev_per_atom=-1.1866 pbc="T T T"
Rh 0.0000 0.0000 0.0000
F -1.9809 0.2294 1.4519
O 0.6984 -1.3809 1.1710
O -0.9217 -1.3515 -1.0440
Rb -2.2042 -2.5031 1.5789

=====

Record 12
10
Lattice="6.2026 0.0000 0.0000 0.0000 6.2026 0.0000 3.1013 3.1013 4.7329" Properties=species:S:1:pos:R:3 comment="Rb2RhOF6 PBE-GGA optimized geometry" magnetic_moment_mub_per_cell=3.0 e_form_raw_ev_per_atom=-1.6825 pbc="T T T"
F 3.1013 3.1013 2.7796
F 1.3823 1.3823 0.0000
F 4.8202 4.8202 0.0000
O 3.1013 3.1013 0.0000
Rb 3.1013 6.2026 2.3665
F 1.3823 4.8202 0.0000
Rb 6.2026 3.1013 2.3665
Rh 0.0000 0.0000 0.0000
F 6.2026 6.2026 1.9534
F 4.8202 1.3823 0.0000

=====

Record 13
12
Lattice="-2.7049 -5.3293 -3.1111 5.8719 0.1652 1.9077 -2.2392 -3.0406 7.1554" Properties=species:S:1:pos:R:3 comment="Rb5RhO4F2 PBE-GGA optimized geometry" magnetic_moment_mub_per_cell=0.0 e_form_raw_ev_per_atom=-1.5789 pbc="T T T"
O 0.6352 -1.9799 -0.6426
Rb 0.2339 -2.7462 5.8871
Rb 1.2077 -4.4459 0.6560
F 0.3774 -3.4800 3.2134
F -0.3468 -6.4921 1.7068
O -3.3810 -5.5458 4.0279
O 3.9457 -0.3982 1.0656
Rb 0.0295 -6.0458 4.4211
Rb 1.4122 -1.1463 2.1221
Rb -2.2310 -3.7100 2.2994
O -1.9768 -3.6390 -0.4594
Rh -1.1171 -2.2009 -1.2849

=====

Record 14
5
Lattice="4.3633 0.0000 0.0000 0.0000 4.3633 0.0000 0.0000 0.0000 4.8723" Properties=species:S:1:pos:R:3 comment="RbRhO2F PBE-GGA optimized geometry" magnetic_moment_mub_per_cell=3.0 e_form_raw_ev_per_atom=0.8975 pbc="T T T"
O 2.1816 0.0000 0.0000
Rh 2.1816 2.1816 2.4362
O 0.0000 2.1816 0.0000
F 0.0000 0.0000 2.4362
Rb 0.0000 0.0000 0.0000

=====

Record 15
12
Lattice="-3.1786 0.6408 5.9020 5.8793 -1.8931 -0.4697 2.5017 7.6410 0.5177" Properties=species:S:1:pos:R:3 comment="Rb5RuO4F2 PBE-GGA optimized geometry" magnetic_moment_mub_per_cell=1.0 e_form_raw_ev_per_atom=-1.7003 pbc="T T T"
Rb 3.8152 5.1829 0.7491
Ru -1.3082 0.2638 2.4291
Rb 2.0019 1.0819 4.0595
F 1.5939 3.3454 5.6131
O 0.4410 -0.2871 2.1067
O -1.3795 1.7733 3.5092
Rb 2.4987 1.1620 0.4767
Rb 3.3184 5.1028 4.3320
O 0.2037 6.6091 3.8368
Rb -0.0626 4.0853 2.6976
O 3.9176 -1.2994 0.2473
F 2.5526 3.2562 2.2974

=====

Record 16
9
Lattice="-1.0945 3.2089 3.5610 3.0862 -3.2221 4.0167 5.8049 1.3388 0.7424" Properties=species:S:1:pos:R:3 comment="Rb2RuO2F4 PBE-GGA optimized geometry" magnetic_moment_mub_per_cell=0.0 e_form_raw_ev_per_atom=-1.9484 pbc="T T T"
F 3.7462 -0.0534 6.1859
F 2.6094 -1.0385 3.8697
Ru -0.5472 1.6044 1.7805
F 4.0504 1.3789 2.1342
Rb 5.6524 -0.5907 3.8706
O 6.9351 0.7205 6.7620
Rb 2.1442 1.9162 4.4495
F 5.1872 2.3641 4.4504
O 0.8615 0.6051 1.5581

=====

Record 17
10
Lattice="6.2890 0.0000 0.0000 0.0000 6.2890 0.0000 3.1445 3.1445 4.7516" Properties=species:S:1:pos:R:3 comment="Rb2RuOF6 PBE-GGA optimized geometry" magnetic_moment_mub_per_cell=4.0 e_form_raw_ev_per_atom=-1.7793 pbc="T T T"
F 3.1445 3.1445 2.8068
F 4.9095 1.3794 0.0000
Ru 0.0000 0.0000 0.0000
F 4.9095 4.9095 0.0000
F 1.3794 4.9095 0.0000
F 6.2890 6.2890 1.9447
O 3.1445 3.1445 0.0000
Rb 6.2890 3.1445 2.3758
Rb 3.1445 6.2890 2.3758
F 1.3794 1.3794 0.0000

=====

Record 18
5
Lattice="3.6965 0.0000 0.0000 0.0000 3.6965 0.0000 0.0000 0.0000 5.0945" Properties=species:S:1:pos:R:3 comment="RbSO2F PBE-GGA optimized geometry" magnetic_moment_mub_per_cell=0.0 e_form_raw_ev_per_atom=-0.9383 pbc="T T T"
S 0.0000 0.0000 0.0000
O 1.8482 0.0000 0.0000
F 0.0000 0.0000 2.5472
O 0.0000 1.8482 0.0000
Rb 1.8482 1.8482 2.5472

=====

Record 19
11
Lattice="-6.7073 2.1213 -0.0907 2.3685 -3.9907 4.3745 1.5534 5.0184 2.4983" Properties=species:S:1:pos:R:3 comment="Rb2S2O6F PBE-GGA optimized geometry" magnetic_moment_mub_per_cell=0.5 e_form_raw_ev_per_atom=-1.4672 pbc="T T T"
O -0.0687 3.9670 2.4383
Rb -3.3521 1.1487 1.8968
F -2.5770 3.5699 1.2038
Rb 0.5666 2.0004 4.8853
S -3.2371 1.6851 5.9424
O 0.1996 0.7198 2.0758
S 0.4517 1.4640 0.8397
O -4.4303 5.3465 2.3793
O -2.7167 -0.8180 4.3439
O -2.9850 2.4293 4.7063
O 1.6448 -2.1974 4.4028

=====

Record 20
5
Lattice="-0.1083 3.7265 -2.3697 -2.9910 -1.8059 -2.7032 -3.5755 1.6927 2.8253" Properties=species:S:1:pos:R:3 comment="RbSO2F PBE-GGA optimized geometry" magnetic_moment_mub_per_cell=0.0 e_form_raw_ev_per_atom=1.1100 pbc="T T T"
S -3.3374 1.8067 -1.1238
O -0.0542 1.8633 -1.1848
O -1.4955 -0.9029 -1.3516
Rb 0.0000 0.0000 0.0000
F -1.7877 0.8463 1.4127

=====

Record 21
9
Lattice="-0.6061 5.5074 -2.7936 -1.4101 -5.3272 -2.8522 -3.8443 -1.8662 4.4990" Properties=species:S:1:pos:R:3 comment="Rb2SOF5 PBE-GGA optimized geometry" magnetic_moment_mub_per_cell=1.0 e_form_raw_ev_per_atom=-2.0104 pbc="T T T"
F -1.1445 -1.5668 0.3587
F -1.9322 -4.5922 -1.2825
Rb -3.4947 0.0825 1.2506
S -5.1459 -7.0450 1.6129
O -4.2959 -5.8812 1.3464
F -3.3274 -2.6085 2.9310
F -1.3827 0.8119 -0.8401
Rb -2.2776 -1.6480 -2.4250
F -4.4831 -2.5052 -0.3050

=====

Record 22
24
Lattice="6.1789 0.0000 0.0000 0.0000 7.7135 0.0000 0.0000 0.0000 9.1166" Properties=species:S:1:pos:R:3 comment="RbSO3F PBE-GGA optimized geometry" magnetic_moment_mub_per_cell=0.0 e_form_raw_ev_per_atom=-1.8444 pbc="T T T"
O 1.5447 4.5868 5.2601
Rb 4.6342 5.0960 1.6735
F 1.5447 4.3484 2.8349
O 1.5447 6.9834 0.7018
S 4.6342 1.5812 0.4664
S 1.5447 6.1322 8.6502
O 3.4074 2.3267 0.7116
O 3.4074 1.5300 5.2699
S 4.6342 2.2755 5.0247
Rb 4.6342 6.4742 6.2318
O 0.3180 5.3868 8.4050
Rb 1.5447 1.2392 2.8848
O 5.8609 2.3267 0.7116
O 5.8609 1.5300 5.2699
O 2.7715 5.3868 8.4050
F 4.6342 3.3651 6.2817
F 1.5447 7.2218 7.3932
O 4.6342 0.7301 8.4148
F 4.6342 0.4917 1.7234
O 0.3180 6.1834 3.8467
O 4.6342 3.1267 3.8565
Rb 1.5447 2.6175 7.4431
S 1.5447 5.4379 4.0919
O 2.7715 6.1834 3.8467